Record 1
First-principles (SCAN) data for a crystal of ReP2PbS relaxed with PBEsol, as listed in the Alexandria database.

Structure (POSCAR):
```
ReP2PbS
1.0
4.502 0.000 0.000
0.000 4.502 0.000
0.000 0.000 5.184
P Re Pb S
2 1 1 1
direct
0.000 0.500 0.000
0.500 0.000 0.000
0.000 0.000 0.000
0.500 0.500 0.500
0.000 0.000 0.500
```

Results
- Formation energy from raw total energies: 0.37 eV/atom
- Space-group type: P4/mmm (123)
- Density: 7.7 g cm⁻³
- D(E_F): 0.532 states/eV/atom
- Calculated total energy: -35.096 eV/atom

***

Record 2
First-principles (SCAN) data for a crystal of CsAgNF2 relaxed with PBEsol, as listed in the Alexandria database.

Structure (POSCAR):
```
CsAgNF2
1.0
-0.323 -4.562 -1.786
3.449 1.224 -3.752
3.931 -1.502 3.124
F N Cs Ag
2 1 1 1
direct
0.000 0.500 0.000
0.000 0.000 0.500
0.500 0.000 0.000
0.000 0.000 0.000
0.500 0.500 0.500
```

Results
- Formation energy from raw total energies: 0.32 eV/atom
- Space-group type: P4/mmm (123)
- Density: 3.6 g cm⁻³
- D(E_F): 0.006 states/eV/atom
- Calculated total energy: -16.794 eV/atom

***

Record 3
First-principles (SCAN) data for a crystal of SnAsF7 relaxed with PBEsol, as listed in the Alexandria database.

Structure (POSCAR):
```
SnAsF7
1.0
-5.840 -0.702 4.915
-6.374 -0.703 -4.200
-1.937 -7.415 0.114
F Sn As
21 3 3
direct
0.364 0.200 0.517
0.918 0.602 0.762
0.152 0.152 0.879
0.517 0.364 0.200
0.636 0.483 0.800
0.800 0.636 0.483
0.121 0.848 0.848
0.879 0.152 0.152
0.762 0.918 0.602
0.398 0.082 0.238
0.848 0.848 0.121
0.200 0.517 0.364
0.602 0.762 0.918
0.483 0.800 0.636
0.152 0.879 0.152
0.500 0.680 0.320
0.680 0.320 0.500
0.848 0.121 0.848
0.082 0.238 0.398
0.238 0.398 0.082
0.320 0.500 0.680
0.238 0.762 0.500
0.762 0.500 0.238
0.500 0.238 0.762
0.299 0.299 0.299
0.000 0.000 0.000
0.701 0.701 0.701
```

Results
- Formation energy from raw total energies: -2.27 eV/atom
- Space-group type: R32 (155)
- Density: 4.1 g cm⁻³
- D(E_F): 0.000 states/eV/atom
- Calculated total energy: -11.261 eV/atom

***

Record 4
First-principles (SCAN) data for a crystal of Li2LaCl relaxed with PBEsol, as listed in the Alexandria database.

Structure (POSCAR):
```
Li2LaCl
1.0
3.405 0.000 0.000
0.000 5.554 0.000
0.000 -2.777 5.763
Li La Cl
2 1 1
direct
0.000 0.000 0.500
0.000 0.500 0.500
0.500 0.500 0.000
0.500 0.000 0.000
```

Results
- Formation energy from raw total energies: -0.57 eV/atom
- Space-group type: Cmmm (65)
- Density: 2.9 g cm⁻³
- D(E_F): 0.614 states/eV/atom
- Calculated total energy: -14.540 eV/atom
- Energy above the most stable polymorph in this dataset: 0.00 eV/f.u.